A relaxed Co2AgOs crystal. Source: Alexandria, functional PBE.

Cell and atoms, written as POSCAR:
```
Co2AgOs
1.0
8.9249 0.0003 0.0002
8.5232 2.6473 0.0002
8.5232 1.2933 2.3098
Os Ag Co
1 1 2
Direct
0.5090 0.5090 0.5090
0.7464 0.7464 0.7464
0.9916 0.9916 0.9916
0.2530 0.2530 0.2530
```

Computed properties:
- Distance to the lowest polymorph of the same formula: 0.056 eV/atom
- Space group: R3m
- DFT total energy: -0.2472 hartree per atom

=====

A relaxed Tb3Nd2Bi2 crystal. Source: Alexandria, functional PBE.

Cell and atoms, written as POSCAR:
```
Tb3Nd2Bi2
1.0
4.3712 0.0000 0.0000
-2.1856 6.2226 -0.0250
0.0000 -2.8703 8.3553
Tb Bi Nd
3 2 2
Direct
0.6249 0.2497 0.4479
0.3751 0.7503 0.5521
0.5000 0.0000 0.0000
0.1712 0.3424 0.1984
0.8288 0.6576 0.8016
0.1290 0.2579 0.7852
0.8710 0.7421 0.2148
```

Computed properties:
- Space group: C2/m
- DFT total energy: -0.1815 hartree per atom

=====

Q: What is the DFT total energy in the second record?
A: -0.1815 hartree per atom